# 1
{
  "formula": "AlAsAuSe2",
  "functional": "SCAN",
  "state": "PBEsol geometry",
  "dos_at_fermi_per_ev_atom": 0.88,
  "density_g_cm3": 7.0,
  "formation_energy_uncorrected_ev_per_atom": 0.53,
  "crystal_system": "tetragonal",
  "magmom_total_mub_per_fu": 0.00,
  "cell": [[4.754, 0.000, 0.000], [0.000, 4.754, 0.000], [0.000, 0.000, 4.815]],
  "species": ["Al", "As", "Au", "Se", "Se"],
  "fractional_positions": [[0.000, 0.000, 0.000], [0.000, 0.000, 0.500], [0.500, 0.500, 0.500], [0.000, 0.500, 0.000], [0.500, 0.000, 0.000]]
}



# 2
{
  "formula": "MgAlSb2",
  "functional": "SCAN",
  "state": "PBEsol geometry",
  "dos_at_fermi_per_ev_atom": 0.39,
  "e_above_lowest_polymorph_mev_per_atom": 53.1,
  "density_g_cm3": 5.2,
  "formation_energy_uncorrected_ev_per_atom": -0.03,
  "crystal_system": "monoclinic",
  "magmom_total_mub_per_fu": 0.00,
  "cell": [[5.787, -2.021, 0.000], [5.787, 2.021, 0.000], [-1.283, 0.000, 4.028]],
  "species": ["Mg", "Al", "Sb", "Sb"],
  "fractional_positions": [[0.000, 0.000, 0.000], [0.244, 0.244, 0.553], [0.475, 0.475, 0.480], [0.729, 0.729, 0.019]]
}



# 3
{
  "formula": "Cu2MoRh",
  "functional": "SCAN",
  "state": "PBEsol geometry",
  "dos_at_fermi_per_ev_atom": 0.82,
  "density_g_cm3": 10.4,
  "final_energy_ev_per_atom": -24.693,
  "crystal_system": "orthorhombic",
  "magmom_total_mub_per_fu": 0.00,
  "cell": [[2.673, 0.000, 0.000], [0.000, 3.737, 0.000], [0.000, 0.000, 5.219]],
  "species": ["Cu", "Cu", "Mo", "Rh"],
  "fractional_positions": [[0.000, 0.000, 0.000], [0.500, 0.500, 0.219], [0.000, 0.000, 0.493], [0.500, 0.500, 0.726]]
}



# 4
{
  "formula": "TeAsPBr2",
  "functional": "SCAN",
  "state": "PBEsol geometry",
  "dos_at_fermi_per_ev_atom": 0.22,
  "density_g_cm3": 4.0,
  "formation_energy_uncorrected_ev_per_atom": 0.79,
  "crystal_system": "tetragonal",
  "magmom_total_mub_per_fu": 1.11,
  "cell": [[5.430, 0.000, 0.000], [0.000, 5.430, 0.000], [0.000, 0.000, 5.580]],
  "species": ["Te", "As", "P", "Br", "Br"],
  "fractional_positions": [[0.000, 0.000, 0.000], [0.000, 0.000, 0.500], [0.500, 0.500, 0.500], [0.000, 0.500, 0.000], [0.500, 0.000, 0.000]]
}



# 5
{
  "formula": "Tl2SiRu",
  "functional": "SCAN",
  "state": "PBEsol geometry",
  "dos_at_fermi_per_ev_atom": 0.71,
  "e_above_lowest_polymorph_mev_per_atom": 50.9,
  "density_g_cm3": 11.7,
  "formation_energy_uncorrected_ev_per_atom": 0.91,
  "crystal_system": "cubic",
  "magmom_total_mub_per_fu": 0.00,
  "cell": [[0.000, 3.370, 3.370], [3.370, 0.000, 3.370], [3.370, 3.370, 0.000]],
  "species": ["Tl", "Tl", "Si", "Ru"],
  "fractional_positions": [[0.000, 0.000, 0.000], [0.250, 0.250, 0.250], [0.750, 0.750, 0.750], [0.500, 0.500, 0.500]]
}



# 6
{
  "formula": "SrIn2Os",
  "functional": "SCAN",
  "state": "PBEsol geometry",
  "dos_at_fermi_per_ev_atom": 0.60,
  "density_g_cm3": 9.1,
  "final_energy_ev_per_atom": -39.776,
  "crystal_system": "trigonal",
  "magmom_total_mub_per_fu": 0.00,
  "cell": [[1.676, 0.968, 9.508], [-1.676, 0.968, 9.508], [0.000, -1.936, 9.508]],
  "species": ["Sr", "In", "In", "Os"],
  "fractional_positions": [[0.000, 0.000, 0.000], [0.235, 0.235, 0.235], [0.765, 0.765, 0.765], [0.500, 0.500, 0.500]]
}



# 7
{
  "formula": "Cu17Ni12",
  "functional": "SCAN",
  "state": "PBEsol geometry",
  "dos_at_fermi_per_ev_atom": 0.44,
  "density_g_cm3": 9.3,
  "final_energy_ev_per_atom": -15.504,
  "crystal_system": "cubic",
  "magmom_total_mub_per_fu": 6.83,
  "cell": [[-4.310, 4.310, 4.310], [4.310, -4.310, 4.310], [4.310, 4.310, -4.310]],
  "species": ["Cu", "Cu", "Cu", "Cu", "Cu", "Cu", "Cu", "Cu", "Cu", "Cu", "Cu", "Cu", "Cu", "Cu", "Cu", "Cu", "Cu", "Ni", "Ni", "Ni", "Ni", "Ni", "Ni", "Ni", "Ni", "Ni", "Ni", "Ni", "Ni"],
  "fractional_positions": [[0.000, 0.000, 0.000], [0.000, 0.000, 0.645], [0.000, 0.405, 0.684], [0.000, 0.645, 0.000], [0.000, 0.684, 0.405], [0.279, 0.595, 0.595], [0.316, 0.316, 0.721], [0.316, 0.721, 0.316], [0.355, 0.355, 0.355], [0.405, 0.000, 0.684], [0.405, 0.684, 0.000], [0.595, 0.279, 0.595], [0.595, 0.595, 0.279], [0.645, 0.000, 0.000], [0.684, 0.000, 0.405], [0.684, 0.405, 0.000], [0.721, 0.316, 0.316], [0.000, 0.189, 0.373], [0.000, 0.373, 0.189], [0.184, 0.811, 0.811], [0.189, 0.000, 0.373], [0.189, 0.373, 0.000], [0.373, 0.000, 0.189], [0.373, 0.189, 0.000], [0.627, 0.627, 0.816], [0.627, 0.816, 0.627], [0.811, 0.184, 0.811], [0.811, 0.811, 0.184], [0.816, 0.627, 0.627]]
}



# 8
{
  "formula": "MnHF3",
  "functional": "SCAN",
  "state": "PBEsol geometry",
  "dos_at_fermi_per_ev_atom": 0.06,
  "density_g_cm3": 3.3,
  "final_energy_ev_per_atom": -8.262,
  "crystal_system": "cubic",
  "magmom_total_mub_per_fu": 5.00,
  "cell": [[3.835, 0.000, 0.000], [0.000, 3.835, 0.000], [0.000, 0.000, 3.835]],
  "species": ["Mn", "H", "F", "F", "F"],
  "fractional_positions": [[0.000, 0.000, 0.000], [0.500, 0.500, 0.500], [0.000, 0.000, 0.500], [0.000, 0.500, 0.000], [0.500, 0.000, 0.000]]
}



# 9
{
  "formula": "TcNi2W",
  "functional": "SCAN",
  "state": "PBEsol geometry",
  "dos_at_fermi_per_ev_atom": 1.04,
  "e_above_lowest_polymorph_mev_per_atom": 39.8,
  "density_g_cm3": 13.2,
  "crystal_system": "tetragonal",
  "magmom_total_mub_per_fu": 0.00,
  "cell": [[-1.821, 1.821, 3.773], [1.821, -1.821, 3.773], [1.821, 1.821, -3.773]],
  "species": ["Tc", "Ni", "Ni", "W"],
  "fractional_positions": [[0.000, 0.000, 0.000], [0.250, 0.750, 0.500], [0.750, 0.250, 0.500], [0.500, 0.500, 0.000]]
}



# 10
{
  "formula": "Y2AlSb",
  "functional": "SCAN",
  "state": "PBEsol geometry",
  "dos_at_fermi_per_ev_atom": 0.54,
  "e_above_lowest_polymorph_mev_per_atom": 208.3,
  "density_g_cm3": 5.6,
  "formation_energy_uncorrected_ev_per_atom": -0.63,
  "crystal_system": "monoclinic",
  "magmom_total_mub_per_fu": 0.70,
  "cell": [[3.261, -4.127, 0.000], [3.261, 4.127, 0.000], [-0.020, 0.000, 3.616]],
  "species": ["Y", "Y", "Al", "Sb"],
  "fractional_positions": [[0.000, 0.500, 0.000], [0.500, 0.000, 0.000], [0.000, 0.000, 0.500], [0.500, 0.500, 0.500]]
}



# 11
{
  "formula": "Be2Pb",
  "functional": "SCAN",
  "state": "PBEsol geometry",
  "dos_at_fermi_per_ev_atom": 0.36,
  "e_above_lowest_polymorph_mev_per_atom": 48.2,
  "density_g_cm3": 8.0,
  "crystal_system": "cubic",
  "magmom_total_mub_per_fu": 0.00,
  "cell": [[0.000, 3.603, 3.603], [3.603, 0.000, 3.603], [3.603, 3.603, 0.000]],
  "species": ["Be", "Be", "Be", "Be", "Pb", "Pb"],
  "fractional_positions": [[0.000, 0.000, 0.000], [0.000, 0.000, 0.500], [0.000, 0.500, 0.000], [0.500, 0.000, 0.000], [0.375, 0.375, 0.375], [0.625, 0.625, 0.625]]
}



# 12
{
  "formula": "CaGa3Os",
  "functional": "SCAN",
  "state": "PBEsol geometry",
  "dos_at_fermi_per_ev_atom": 0.99,
  "density_g_cm3": 5.7,
  "final_energy_ev_per_atom": -24.067,
  "crystal_system": "cubic",
  "magmom_total_mub_per_fu": 2.65,
  "cell": [[5.055, 0.000, 0.000], [0.000, 5.055, 0.000], [0.000, 0.000, 5.055]],
  "species": ["Ca", "Ga", "Ga", "Ga", "Os"],
  "fractional_positions": [[0.000, 0.000, 0.000], [0.000, 0.000, 0.500], [0.000, 0.500, 0.000], [0.500, 0.000, 0.000], [0.500, 0.500, 0.500]]
}



# 13
{
  "formula": "Fe2NiAs",
  "functional": "SCAN",
  "state": "PBEsol geometry",
  "dos_at_fermi_per_ev_atom": 0.66,
  "density_g_cm3": 9.1,
  "final_energy_ev_per_atom": -18.228,
  "crystal_system": "tetragonal",
  "magmom_total_mub_per_fu": 5.64,
  "cell": [[-1.811, 1.811, 3.426], [1.811, -1.811, 3.426], [1.811, 1.811, -3.426]],
  "species": ["Fe", "Fe", "Ni", "As"],
  "fractional_positions": [[0.000, 0.000, 0.000], [0.750, 0.250, 0.500], [0.500, 0.500, 0.000], [0.250, 0.750, 0.500]]
}



# 14
{
  "formula": "Cu2TeSe",
  "functional": "SCAN",
  "state": "PBEsol geometry",
  "dos_at_fermi_per_ev_atom": 0.55,
  "e_above_lowest_polymorph_mev_per_atom": 531.4,
  "density_g_cm3": 8.0,
  "formation_energy_uncorrected_ev_per_atom": 0.43,
  "crystal_system": "tetragonal",
  "magmom_total_mub_per_fu": 0.00,
  "cell": [[4.507, 0.000, 0.000], [0.000, 4.507, 0.000], [0.000, 0.000, 3.426]],
  "species": ["Cu", "Cu", "Te", "Se"],
  "fractional_positions": [[0.000, 0.500, 0.000], [0.500, 0.000, 0.000], [0.000, 0.000, 0.500], [0.500, 0.500, 0.500]]
}



# 15
{
  "formula": "Hf2Te",
  "functional": "SCAN",
  "state": "PBEsol geometry",
  "dos_at_fermi_per_ev_atom": 0.71,
  "density_g_cm3": 11.6,
  "formation_energy_uncorrected_ev_per_atom": -0.52,
  "crystal_system": "monoclinic",
  "magmom_total_mub_per_fu": 0.00,
  "cell": [[7.513, -1.839, 0.000], [7.513, 1.839, 0.000], [-0.069, 0.000, 10.000]],
  "species": ["Hf", "Hf", "Hf", "Hf", "Hf", "Hf", "Hf", "Hf", "Te", "Te", "Te", "Te"],
  "fractional_positions": [[0.087, 0.087, 0.422], [0.220, 0.220, 0.127], [0.252, 0.252, 0.619], [0.409, 0.409, 0.343], [0.591, 0.591, 0.657], [0.748, 0.748, 0.381], [0.780, 0.780, 0.873], [0.913, 0.913, 0.578], [0.132, 0.132, 0.871], [0.420, 0.420, 0.805], [0.580, 0.580, 0.195], [0.868, 0.868, 0.129]]
}



# 16
{
  "formula": "K2P3H7O9",
  "functional": "SCAN",
  "state": "PBEsol geometry",
  "dos_at_fermi_per_ev_atom": 0.00,
  "density_g_cm3": 2.0,
  "final_energy_ev_per_atom": -7.781,
  "crystal_system": "triclinic",
  "magmom_total_mub_per_fu": 0.00,
  "cell": [[7.556, 0.000, 0.000], [0.201, 8.591, 0.000], [3.587, 1.598, 8.064]],
  "species": ["K", "K", "K", "K", "P", "P", "P", "P", "P", "P", "H", "H", "H", "H", "H", "H", "H", "H", "H", "H", "H", "H", "H", "H", "O", "O", "O", "O", "O", "O", "O", "O", "O", "O", "O", "O", "O", "O", "O", "O", "O", "O"],
  "fractional_positions": [[0.091, 0.081, 0.148], [0.181, 0.601, 0.093], [0.819, 0.399, 0.907], [0.909, 0.919, 0.852], [0.026, 0.717, 0.518], [0.364, 0.363, 0.757], [0.439, 0.896, 0.772], [0.561, 0.104, 0.228], [0.636, 0.637, 0.243], [0.974, 0.283, 0.482], [0.150, 0.589, 0.500], [0.200, 0.258, 0.633], [0.249, 0.917, 0.420], [0.347, 0.295, 0.255], [0.429, 0.915, 0.615], [0.444, 0.515, 0.666], [0.446, 0.833, 0.213], [0.554, 0.167, 0.787], [0.556, 0.485, 0.334], [0.571, 0.085, 0.385], [0.653, 0.705, 0.745], [0.751, 0.083, 0.580], [0.800, 0.742, 0.367], [0.850, 0.411, 0.500], [0.014, 0.242, 0.638], [0.145, 0.329, 0.316], [0.145, 0.858, 0.533], [0.180, 0.373, 0.905], [0.244, 0.911, 0.904], [0.341, 0.267, 0.633], [0.395, 0.987, 0.250], [0.469, 0.714, 0.197], [0.495, 0.278, 0.194], [0.505, 0.722, 0.806], [0.531, 0.286, 0.803], [0.605, 0.013, 0.750], [0.659, 0.733, 0.367], [0.756, 0.089, 0.096], [0.820, 0.627, 0.095], [0.855, 0.142, 0.467], [0.855, 0.671, 0.684], [0.986, 0.758, 0.362]]
}



# 17
{
  "formula": "RbGeBiS4",
  "functional": "SCAN",
  "state": "PBEsol geometry",
  "dos_at_fermi_per_ev_atom": 0.00,
  "density_g_cm3": 4.4,
  "formation_energy_uncorrected_ev_per_atom": -0.69,
  "crystal_system": "monoclinic",
  "magmom_total_mub_per_fu": 0.00,
  "cell": [[6.554, 0.000, 0.000], [0.000, 6.717, 0.000], [-5.480, 0.000, 17.001]],
  "species": ["Rb", "Rb", "Rb", "Rb", "Ge", "Ge", "Ge", "Ge", "Bi", "Bi", "Bi", "Bi", "S", "S", "S", "S", "S", "S", "S", "S", "S", "S", "S", "S", "S", "S", "S", "S"],
  "fractional_positions": [[0.228, 0.249, 0.467], [0.228, 0.251, 0.967], [0.772, 0.749, 0.033], [0.772, 0.751, 0.533], [0.288, 0.735, 0.339], [0.288, 0.765, 0.839], [0.712, 0.235, 0.161], [0.712, 0.265, 0.661], [0.264, 0.214, 0.722], [0.264, 0.286, 0.222], [0.736, 0.714, 0.778], [0.736, 0.786, 0.278], [0.079, 0.674, 0.216], [0.079, 0.826, 0.716], [0.082, 0.746, 0.415], [0.082, 0.754, 0.915], [0.473, 0.507, 0.638], [0.473, 0.993, 0.138], [0.493, 0.004, 0.353], [0.493, 0.496, 0.853], [0.507, 0.504, 0.147], [0.507, 0.996, 0.647], [0.527, 0.007, 0.862], [0.527, 0.493, 0.362], [0.918, 0.246, 0.085], [0.918, 0.254, 0.585], [0.921, 0.174, 0.284], [0.921, 0.326, 0.784]]
}



# 18
{
  "formula": "Cd2Te3O9",
  "functional": "SCAN",
  "state": "PBEsol geometry",
  "dos_at_fermi_per_ev_atom": 0.00,
  "density_g_cm3": 6.6,
  "formation_energy_uncorrected_ev_per_atom": -1.20,
  "crystal_system": "monoclinic",
  "magmom_total_mub_per_fu": 0.00,
  "cell": [[9.308, 0.000, 0.000], [0.000, 7.323, 0.000], [-6.994, 0.000, 11.079]],
  "species": ["Cd", "Cd", "Cd", "Cd", "Cd", "Cd", "Cd", "Cd", "Te", "Te", "Te", "Te", "Te", "Te", "Te", "Te", "Te", "Te", "Te", "Te", "O", "O", "O", "O", "O", "O", "O", "O", "O", "O", "O", "O", "O", "O", "O", "O", "O", "O", "O", "O", "O", "O", "O", "O", "O", "O", "O", "O", "O", "O", "O", "O", "O", "O", "O", "O"],
  "fractional_positions": [[0.095, 0.125, 0.144], [0.095, 0.375, 0.644], [0.098, 0.624, 0.146], [0.098, 0.876, 0.646], [0.902, 0.124, 0.354], [0.902, 0.376, 0.854], [0.905, 0.625, 0.356], [0.905, 0.875, 0.856], [0.267, 0.621, 0.939], [0.267, 0.879, 0.439], [0.286, 0.116, 0.953], [0.286, 0.384, 0.453], [0.497, 0.128, 0.749], [0.497, 0.372, 0.249], [0.503, 0.628, 0.751], [0.503, 0.872, 0.251], [0.714, 0.616, 0.547], [0.714, 0.884, 0.047], [0.733, 0.121, 0.561], [0.733, 0.379, 0.061], [0.090, 0.119, 0.962], [0.090, 0.381, 0.462], [0.091, 0.632, 0.971], [0.091, 0.868, 0.471], [0.148, 0.084, 0.336], [0.148, 0.416, 0.836], [0.174, 0.654, 0.345], [0.174, 0.846, 0.845], [0.274, 0.131, 0.717], [0.274, 0.369, 0.217], [0.279, 0.621, 0.717], [0.279, 0.879, 0.217], [0.413, 0.190, 0.579], [0.413, 0.310, 0.079], [0.423, 0.567, 0.580], [0.423, 0.933, 0.080], [0.464, 0.623, 0.190], [0.464, 0.877, 0.690], [0.536, 0.123, 0.310], [0.536, 0.377, 0.810], [0.577, 0.067, 0.920], [0.577, 0.433, 0.420], [0.587, 0.690, 0.921], [0.587, 0.810, 0.421], [0.721, 0.121, 0.783], [0.721, 0.379, 0.283], [0.726, 0.631, 0.783], [0.726, 0.869, 0.283], [0.826, 0.154, 0.155], [0.826, 0.346, 0.655], [0.852, 0.584, 0.164], [0.852, 0.916, 0.664], [0.909, 0.132, 0.529], [0.909, 0.368, 0.029], [0.910, 0.619, 0.538], [0.910, 0.881, 0.038]]
}



# 19
{
  "formula": "CrRuBr",
  "functional": "SCAN",
  "state": "PBEsol geometry",
  "dos_at_fermi_per_ev_atom": 0.88,
  "e_above_lowest_polymorph_mev_per_atom": 38.7,
  "density_g_cm3": 8.3,
  "formation_energy_uncorrected_ev_per_atom": 0.96,
  "crystal_system": "cubic",
  "magmom_total_mub_per_fu": 0.00,
  "cell": [[0.000, 2.855, 2.855], [2.855, 0.000, 2.855], [2.855, 2.855, 0.000]],
  "species": ["Cr", "Ru", "Br"],
  "fractional_positions": [[0.000, 0.000, 0.000], [0.250, 0.250, 0.250], [0.750, 0.750, 0.750]]
}



# 20
{
  "formula": "MgTl",
  "functional": "SCAN",
  "state": "PBEsol geometry",
  "dos_at_fermi_per_ev_atom": 0.34,
  "density_g_cm3": 7.8,
  "final_energy_ev_per_atom": -38.778,
  "crystal_system": "cubic",
  "magmom_total_mub_per_fu": 0.00,
  "cell": [[5.791, 0.000, 0.000], [0.000, 5.791, 0.000], [0.000, 0.000, 5.791]],
  "species": ["Mg", "Mg", "Mg", "Mg", "Tl", "Tl", "Tl", "Tl"],
  "fractional_positions": [[0.100, 0.400, 0.600], [0.400, 0.600, 0.100], [0.600, 0.100, 0.400], [0.900, 0.900, 0.900], [0.097, 0.903, 0.403], [0.403, 0.097, 0.903], [0.597, 0.597, 0.597], [0.903, 0.403, 0.097]]
}